1.
# NaLiZn

Crystalline NaLiZn at its relaxed geometry (PBE-GGA, Alexandria).

Cell and atoms, written as CIF:
```
data_NaLiZn
_chemical_formula_sum 'Na2 Li2 Zn2'
_space_group_name_H-M_alt 'I 4 m m'
_space_group_IT_number 107
_space_group_name_Hall 'I 4 -2'
_cell_length_a 3.4531
_cell_length_b 3.4531
_cell_length_c 10.9557
_cell_angle_alpha 90.00
_cell_angle_beta 90.00
_cell_angle_gamma 90.00
loop_
_atom_site_label
_atom_site_fract_x
_atom_site_fract_y
_atom_site_fract_z
Na1 0.0000 0.0000 0.0000
Li1 0.0000 0.0000 0.7091
Zn1 0.0000 0.0000 0.3107
```

Values from the calculation:
DOS(E_F) = 1.38 states/eV/f.u.
VASP energy = -8.9 eV/cell
Energy of formation from the pure elements = 0.0200 eV/atom
Theoretical density = 2.424 g/cm³

---

2.
# Ho3ScRu3

Crystalline Ho3ScRu3 at its relaxed geometry (PBE-GGA, Alexandria).

Cell and atoms, written as CIF:
```
data_Ho3ScRu3
_chemical_formula_sum 'Ho9 Sc3 Ru9'
_space_group_name_H-M_alt 'R 3 m'
_space_group_IT_number 160
_space_group_name_Hall 'R 3 -2"'
_cell_length_a 9.3159
_cell_length_b 9.3159
_cell_length_c 5.7957
_cell_angle_alpha 90.00
_cell_angle_beta 90.00
_cell_angle_gamma 120.00
loop_
_atom_site_label
_atom_site_fract_x
_atom_site_fract_y
_atom_site_fract_z
Ho1 0.0574 0.5287 0.0000
Sc1 0.0000 0.0000 0.8849
Ru1 0.0051 0.5025 0.4716
```

Values from the calculation:
DOS(E_F) = 3.15 states/eV/f.u.
VASP energy = -152.2 eV/cell
Energy of formation from the pure elements = -0.4064 eV/atom
Theoretical density = 9.640 g/cm³

---

3.
# Mn2AsPdAu

Crystalline Mn2AsPdAu at its relaxed geometry (PBE-GGA, Alexandria).

Cell and atoms, written as CIF:
```
data_Mn2AsPdAu
_chemical_formula_sum 'Mn2 As1 Pd1 Au1'
_space_group_name_H-M_alt 'P 4/m m m'
_space_group_IT_number 123
_space_group_name_Hall '-P 4 2'
_cell_length_a 4.9417
_cell_length_b 4.9417
_cell_length_c 4.5459
_cell_angle_alpha 90.00
_cell_angle_beta 90.00
_cell_angle_gamma 90.00
loop_
_atom_site_label
_atom_site_fract_x
_atom_site_fract_y
_atom_site_fract_z
Mn1 0.0000 0.5000 0.0000
As1 0.0000 0.0000 0.5000
Pd1 0.0000 0.0000 0.0000
Au1 0.5000 0.5000 0.5000
```

Values from the calculation:
DOS(E_F) = 4.30 states/eV/f.u.
VASP energy = -28.4 eV/cell
Energy of formation from the pure elements = 0.6138 eV/atom
Theoretical density = 7.302 g/cm³

---

4.
# La4CoSCl2

Crystalline La4CoSCl2 at its relaxed geometry (PBE-GGA, Alexandria).

Cell and atoms, written as CIF:
```
data_La4CoSCl2
_chemical_formula_sum 'La4 Co1 S1 Cl2'
_space_group_name_H-M_alt 'P 1 2/m 1'
_space_group_IT_number 10
_space_group_name_Hall '-P 2y'
_cell_length_a 7.4296
_cell_length_b 3.9713
_cell_length_c 7.5652
_cell_angle_alpha 90.00
_cell_angle_beta 108.50
_cell_angle_gamma 90.00
loop_
_atom_site_label
_atom_site_fract_x
_atom_site_fract_y
_atom_site_fract_z
La1 0.2157 0.0000 0.2077
La2 0.2594 0.5000 0.7735
Co1 0.0000 0.5000 0.0000
S1 0.5000 0.0000 0.0000
Cl1 0.0000 0.0000 0.5000
Cl2 0.5000 0.5000 0.5000
```

Values from the calculation:
DOS(E_F) = 5.63 states/eV/f.u.
VASP energy = -45.7 eV/cell
Theoretical density = 5.629 g/cm³

---

5.
# Y2ScCu2

Crystalline Y2ScCu2 at its relaxed geometry (PBE-GGA, Alexandria).

Cell and atoms, written as CIF:
```
data_Y2ScCu2
_chemical_formula_sum 'Y4 Sc2 Cu4'
_space_group_name_H-M_alt 'P 4/m b m'
_space_group_IT_number 127
_space_group_name_Hall '-P 4 2ab'
_cell_length_a 7.8087
_cell_length_b 7.8087
_cell_length_c 3.6445
_cell_angle_alpha 90.00
_cell_angle_beta 90.00
_cell_angle_gamma 90.00
loop_
_atom_site_label
_atom_site_fract_x
_atom_site_fract_y
_atom_site_fract_z
Y1 0.1694 0.3306 0.0000
Sc1 0.0000 0.0000 0.5000
Cu1 0.1236 0.6236 0.5000
```

Values from the calculation:
DOS(E_F) = 7.24 states/eV/f.u.
VASP energy = -56.5 eV/cell
Energy of formation from the pure elements = -0.1592 eV/atom
Theoretical density = 5.229 g/cm³

---

6.
# PrNdSiPd

Crystalline PrNdSiPd at its relaxed geometry (PBE-GGA, Alexandria).

Cell and atoms, written as CIF:
```
data_PrNdSiPd
_chemical_formula_sum 'Pr2 Nd2 Si2 Pd2'
_space_group_name_H-M_alt 'A m m 2'
_space_group_IT_number 38
_space_group_name_Hall 'A 2 -2'
_cell_length_a 4.3060
_cell_length_b 4.1944
_cell_length_c 11.1077
_cell_angle_alpha 90.00
_cell_angle_beta 90.00
_cell_angle_gamma 90.00
loop_
_atom_site_label
_atom_site_fract_x
_atom_site_fract_y
_atom_site_fract_z
Pr1 0.0000 0.0000 0.0000
Nd1 0.5000 0.0000 0.2791
Si1 0.5000 0.0000 0.5667
Pd1 0.0000 0.0000 0.7112
```

Values from the calculation:
DOS(E_F) = 2.46 states/eV/f.u.
VASP energy = -46.2 eV/cell
Theoretical density = 6.947 g/cm³